(1)
Material: LiPaCo
Method: DFT, GGA-PBE
State: optimized geometry

Output
SG ... Fmmm

```
LiPaCo
1.0
0.000 2.627 8.227
2.528 0.000 8.227
2.528 2.627 0.000
Li Pa Co
2 2 2
Direct
0.218 0.782 0.218
0.782 0.218 0.782
0.331 0.331 0.669
0.669 0.669 0.331
0.155 0.155 0.845
0.845 0.845 0.155
```

(2)
Material: RbIrPdO6
Method: DFT, GGA-PBE
State: optimized geometry

Output
SG ... P312

```
RbIrPdO6
1.0
5.341 0.000 0.000
-2.670 4.625 0.000
0.000 0.000 6.231
Rb Ir Pd O
1 1 1 6
Direct
0.000 0.000 0.000
0.667 0.333 0.500
0.333 0.667 0.500
0.404 0.012 0.676
0.404 0.393 0.324
0.607 0.012 0.324
0.607 0.596 0.676
0.988 0.393 0.676
0.988 0.596 0.324
```

(3)
Material: CeHfCuRe
Method: DFT, GGA-PBE
State: optimized geometry

Output
SG ... F-43m

```
CeHfCuRe
1.0
0.000 3.375 3.375
3.375 0.000 3.375
3.375 3.375 0.000
Ce Hf Cu Re
1 1 1 1
Direct
0.000 0.000 0.000
0.500 0.500 0.500
0.750 0.750 0.750
0.250 0.250 0.250
```

(4)
Material: LaNdTmZr
Method: DFT, GGA-PBE
State: optimized geometry

Output
SG ... F-43m

```
LaNdTmZr
1.0
0.000 3.924 3.924
3.924 0.000 3.924
3.924 3.924 0.000
La Nd Tm Zr
1 1 1 1
Direct
0.000 0.000 0.000
0.500 0.500 0.500
0.250 0.250 0.250
0.750 0.750 0.750
```

(5)
Material: Sm12ErTm6
Method: DFT, GGA-PBE
State: optimized geometry

Output
Energy relative to the lowest polymorph listed for this composition ... 193 kJ/mol of formula units
SG ... R-3

```
Sm12ErTm6
1.0
7.337 4.236 3.470
-7.337 4.236 3.470
0.000 -8.472 3.470
Sm Er Tm
12 1 6
Direct
0.136 0.828 0.277
0.172 0.723 0.864
0.192 0.581 0.483
0.277 0.136 0.828
0.419 0.517 0.808
0.483 0.192 0.581
0.517 0.808 0.419
0.581 0.483 0.192
0.723 0.864 0.172
0.808 0.419 0.517
0.828 0.277 0.136
0.864 0.172 0.723
0.000 0.000 0.000
0.076 0.189 0.457
0.189 0.457 0.076
0.457 0.076 0.189
0.543 0.924 0.811
0.811 0.543 0.924
0.924 0.811 0.543
```

(6)
Material: TaTl2Mo
Method: DFT, GGA-PBE
State: optimized geometry

Output
Energy relative to the lowest polymorph listed for this composition ... 277 kJ/mol of formula units
SG ... I-42d

```
TaTl2Mo
1.0
-3.874 3.874 2.914
3.874 -3.874 2.914
3.874 3.874 -2.914
Ta Tl Mo
2 4 2
Direct
0.000 0.000 0.000
0.750 0.250 0.500
0.131 0.125 0.506
0.375 0.869 0.994
0.619 0.625 0.494
0.875 0.381 0.006
0.250 0.750 0.500
0.500 0.500 0.000
```

(7)
Material: SrCdBr2
Method: DFT, GGA-PBE
State: optimized geometry

Output
Energy relative to the lowest polymorph listed for this composition ... 1 kJ/mol of formula units
SG ... R-3m

```
SrCdBr2
1.0
2.279 1.316 11.484
-2.279 1.316 11.484
0.000 -2.631 11.484
Sr Cd Br
1 1 2
Direct
0.000 0.000 0.000
0.500 0.500 0.500
0.380 0.380 0.380
0.620 0.620 0.620
```

(8)
Material: Sr2WAu
Method: DFT, GGA-PBE
State: optimized geometry

Output
Energy relative to the lowest polymorph listed for this composition ... 106 kJ/mol of formula units
SG ... R-3m

```
Sr2WAu
1.0
1.733 1.001 10.079
-1.733 1.001 10.079
0.000 -2.001 10.079
Sr W Au
2 1 1
Direct
0.249 0.249 0.249
0.751 0.751 0.751
0.000 0.000 0.000
0.500 0.500 0.500
```

(9)
Material: VSn
Method: DFT, GGA-PBE
State: optimized geometry

Output
SG ... I-43m

```
VSn
1.0
-4.052 4.052 4.052
4.052 -4.052 4.052
4.052 4.052 -4.052
V Sn
4 4
Direct
0.000 0.000 0.789
0.000 0.789 0.000
0.211 0.211 0.211
0.789 0.000 0.000
0.000 0.000 0.412
0.000 0.412 0.000
0.412 0.000 0.000
0.588 0.588 0.588
```

(10)
Material: ScTi3N
Method: DFT, GGA-PBE
State: optimized geometry

Output
Energy relative to the lowest polymorph listed for this composition ... 0 kJ/mol of formula units
SG ... Pm-3m

```
ScTi3N
1.0
4.249 0.000 0.000
0.000 4.249 0.000
0.000 0.000 4.249
Sc Ti N
1 3 1
Direct
0.000 0.000 0.000
0.000 0.500 0.500
0.500 0.000 0.500
0.500 0.500 0.000
0.500 0.500 0.500
```

(11)
Material: UGaIr2
Method: DFT, GGA-PBE
State: optimized geometry

Output
SG ... P4/mmm

```
UGaIr2
1.0
3.042 0.000 0.000
0.000 3.042 0.000
0.000 0.000 7.192
U Ga Ir
1 1 2
Direct
0.000 0.000 0.000
0.000 0.000 0.500
0.500 0.500 0.279
0.500 0.500 0.721
```

(12)
Material: DyTmSn2
Method: DFT, GGA-PBE
State: optimized geometry

Output
SG ... P4/mmm

```
DyTmSn2
1.0
3.458 0.000 0.000
0.000 3.458 0.000
0.000 0.000 8.732
Dy Tm Sn
1 1 2
Direct
0.000 0.000 0.000
0.000 0.000 0.500
0.500 0.500 0.253
0.500 0.500 0.747
```

E_tot list, top to bottom, in eV/cell: -37.8 -50.9 -32.5 -21.9 -83.3 -45.7 -11.6 -16.5 -46.2 -41.6 -33.9 -19.5